Tb8Ho5Cd (PBE, relaxed); energy of formation from the pure elements = 206 meV per atom; M_tot = 0.0 μB per formula unit; DOS at the Fermi energy = 19.02 states/eV/f.u.; calculated total energy = -57.955 eV per cell
1.0
-2.6848 -4.8546 -6.2912
1.4279 -4.6133 6.8580
-5.9540 5.7145 1.4993
Tb Ho Cd
8 5 1
Cartesian
0.1904 -3.7584 4.0333 Tb
-6.2776 -1.2213 -4.2130 Tb
-3.6501 -2.8238 -2.3388 Tb
-6.6646 0.2338 -0.0508 Tb
-2.1019 -3.8324 1.2540 Tb
-5.1861 -2.1088 3.9201 Tb
-3.1485 -0.4184 0.3919 Tb
-2.0051 -1.0844 5.2678 Tb
-0.3579 -0.8022 2.1598 Ho
-2.1555 -7.3439 0.9094 Ho
-5.4565 -3.0903 0.6810 Ho
-4.3194 0.4299 -2.3959 Ho
-6.4520 3.7295 0.3821 Ho
-4.4228 0.7656 2.9807 Cd